Record 1
Crystalline TiBr2N at its relaxed geometry. Source: Alexandria via LeMat-Bulk, functional PBE.

a b c (Å): 4.6975 4.6975 4.6975
angles (deg): 60.00 60.00 60.00
Closest atoms and distances in Å follow each position.
Fractional coordinates of all 4 atoms:
Ti  0.5000  0.5000  0.5000  8 Br 2.88
N  0.0000  0.0000  0.0000  8 Br 2.88
Br  0.2500  0.2500  0.2500  4 Ti 2.88, 4 N 2.88
Br  0.7500  0.7500  0.7500  4 Ti 2.88, 4 N 2.88

The distance to the lowest polymorph of the same formula is 0.007 eV/atom. The calculation puts the energy relative to the elements, uncorrected at 2.750 eV/f.u.

***

Record 2
Crystalline Ti4Br5N at its relaxed geometry. Source: Alexandria via LeMat-Bulk, functional PBE.

a b c (Å): 3.5006 7.2837 9.4123
angles (deg): 101.71 100.72 90.00
Closest atoms and distances in Å follow each position.
Fractional coordinates of all 10 atoms:
Ti  0.0016  0.8203  0.0032  2 N 2.19
Ti  0.6060  0.0476  0.2120  1 N 1.92
Ti  0.3940  0.9524  0.7880  1 N 1.92
Ti  0.9984  0.1797  0.9968  2 N 2.19
Br  0.8546  0.6836  0.7093  3 Ti 2.61-2.69
Br  0.5000  0.5000  0.0000  4 Ti 2.91
Br  0.1481  0.8298  0.2962  3 Ti 2.59-2.70
Br  0.8519  0.1702  0.7038  3 Ti 2.59-2.70
Br  0.1454  0.3164  0.2907  3 Ti 2.61-2.69
N  0.5000  0.0000  0.0000  2 Ti 1.92

The calculation puts the energy relative to the elements, uncorrected at -11.262 eV/f.u.

***

Record 3
Crystalline TiBrN3 at its relaxed geometry. Source: Alexandria via LeMat-Bulk, functional PBE.

a b c (Å): 4.0118 4.0118 4.0118
angles (deg): 90.00 90.00 90.00
Closest atoms and distances in Å follow each position.
Fractional coordinates of all 5 atoms:
N  0.0000  0.0000  0.5000  2 Ti 2.01
N  0.0000  0.5000  0.0000  2 Ti 2.01
N  0.5000  0.0000  0.0000  2 Ti 2.01
Br  0.5000  0.5000  0.5000  12 N 2.84
Ti  0.0000  0.0000  0.0000  6 N 2.01

The calculation puts the energy relative to the elements, uncorrected at 6.145 eV/f.u.

***

Record 4
Crystalline TiBrN2 at its relaxed geometry. Source: Alexandria via LeMat-Bulk, functional PBE.

a b c (Å): 5.3264 5.3264 6.0562
angles (deg): 63.91 63.91 90.00
Closest atoms and distances in Å follow each position.
Fractional coordinates of all 8 atoms:
Ti  0.5000  0.5000  0.0000  4 N 1.92
Ti  0.2500  0.7500  0.5000  4 N 1.92
N  0.3750  0.4926  0.7500  2 Ti 1.92
N  0.5074  0.1250  0.2500  2 Ti 1.92
N  0.2426  0.6250  0.2500  2 Ti 1.92
N  0.8750  0.7574  0.7500  2 Ti 1.92
Br  0.7500  0.2500  0.5000  4 N 2.65
Br  0.0000  0.0000  0.0000  4 N 2.65

The distance to the lowest polymorph of the same formula is 0.466 eV/atom. The calculation puts the energy relative to the elements, uncorrected at 1.483 eV/f.u.

***

Record 5
Crystalline TiBr2N at its relaxed geometry. Source: Alexandria via LeMat-Bulk, functional PBE.

a b c (Å): 7.8602 7.8602 7.8602
angles (deg): 25.38 25.38 25.38
Closest atoms and distances in Å follow each position.
Fractional coordinates of all 4 atoms:
Br  0.9081  0.9081  0.9081  1 N 2.10
Br  0.0919  0.0919  0.0919  1 N 2.10
N  0.0000  0.0000  0.0000  2 Br 2.10
Ti  0.5000  0.5000  0.5000  6 Br 2.62

The distance to the lowest polymorph of the same formula is 0.059 eV/atom. The calculation puts the energy relative to the elements, uncorrected at 2.959 eV/f.u.

***

Record 6
Crystalline TiBrN at its relaxed geometry. Source: Alexandria via LeMat-Bulk, functional PBE.

a b c (Å): 3.9738 3.3046 12.1404
angles (deg): 82.18 90.00 90.00
Closest atoms and distances in Å follow each position.
Fractional coordinates of all 6 atoms:
N  0.2500  0.0712  0.8575  2 Ti 1.83
N  0.7500  0.9288  0.1425  2 Ti 1.83
Ti  0.2500  0.6038  0.7924  2 N 1.83
Ti  0.7500  0.3962  0.2076  2 N 1.83
Br  0.2500  0.3285  0.3431  2 Ti 2.57
Br  0.7500  0.6715  0.6569  2 Ti 2.57

The calculation puts the energy relative to the elements, uncorrected at -2.192 eV/f.u.

***

Record 7
Crystalline TiBr2N at its relaxed geometry. Source: Alexandria via LeMat-Bulk, functional PBE.

a b c (Å): 7.4246 7.4246 7.2442
angles (deg): 59.17 59.17 90.00
Closest atoms and distances in Å follow each position.
Fractional coordinates of all 8 atoms:
N  0.5000  0.5000  0.0000  4 Br 3.35
N  0.2500  0.7500  0.5000  4 Br 3.35
Br  0.8750  0.9616  0.7500  2 Ti 2.54
Br  0.7116  0.1250  0.2500  2 Ti 2.54
Br  0.3750  0.2884  0.7500  2 Ti 2.54
Br  0.0384  0.6250  0.2500  2 Ti 2.54
Ti  0.0000  0.0000  0.0000  4 Br 2.54
Ti  0.7500  0.2500  0.5000  4 Br 2.54

The distance to the lowest polymorph of the same formula is 0.000 eV/atom. The calculation puts the energy relative to the elements, uncorrected at 2.721 eV/f.u.

***

Record 8
Crystalline TiBrN at its relaxed geometry. Source: Alexandria via LeMat-Bulk, functional PBE.

a b c (Å): 3.3792 3.9610 9.1649
angles (deg): 90.00 90.00 90.00
Closest atoms and distances in Å follow each position.
Fractional coordinates of all 6 atoms:
Ti  0.0000  0.5000  0.9185  4 N 2.01-2.02
Ti  0.5000  0.0000  0.0815  4 N 2.01-2.02
Br  0.0000  0.0000  0.2999  2 Ti 2.62
Br  0.5000  0.5000  0.7001  2 Ti 2.62
N  0.0000  0.0000  0.9620  4 Ti 2.01-2.02
N  0.5000  0.5000  0.0380  4 Ti 2.01-2.02

The calculation puts the energy relative to the elements, uncorrected at -4.113 eV/f.u.

***

Record 9
Crystalline TiBrN2 at its relaxed geometry. Source: Alexandria via LeMat-Bulk, functional PBE.

a b c (Å): 6.4396 6.4396 6.4396
angles (deg): 28.28 28.28 28.28
Closest atoms and distances in Å follow each position.
Fractional coordinates of all 4 atoms:
N  0.8890  0.8890  0.8890  1 Br 2.06, 3 Ti 2.09
N  0.1110  0.1110  0.1110  1 Br 2.06, 3 Ti 2.09
Ti  0.5000  0.5000  0.5000  6 N 2.09
Br  0.0000  0.0000  0.0000  2 N 2.06

The distance to the lowest polymorph of the same formula is 0.000 eV/atom. The calculation puts the energy relative to the elements, uncorrected at -0.379 eV/f.u.

***

Record 10
Crystalline TiBr2N at its relaxed geometry. Source: Alexandria via LeMat-Bulk, functional PBE.

a b c (Å): 10.8581 10.8581 10.8581
angles (deg): 19.51 19.51 19.51
Closest atoms and distances in Å follow each position.
Fractional coordinates of all 4 atoms:
Br  0.0731  0.0731  0.0731  1 Ti 2.33
Br  0.9269  0.9269  0.9269  1 Ti 2.33
N  0.5000  0.5000  0.5000  6 Br 3.67, 6 N 3.68
Ti  0.0000  0.0000  0.0000  2 Br 2.33

The distance to the lowest polymorph of the same formula is 0.325 eV/atom. The calculation puts the energy relative to the elements, uncorrected at 4.023 eV/f.u.

***

Record 11
Crystalline TiBrN3 at its relaxed geometry. Source: Alexandria via LeMat-Bulk, functional PBE.

a b c (Å): 3.8044 3.8044 3.8044
angles (deg): 90.00 90.00 90.00
Closest atoms and distances in Å follow each position.
Fractional coordinates of all 5 atoms:
N  0.0000  0.5000  0.0000  2 Br 1.90
N  0.0000  0.0000  0.5000  2 Br 1.90
N  0.5000  0.0000  0.0000  2 Br 1.90
Ti  0.5000  0.5000  0.5000  12 N 2.69
Br  0.0000  0.0000  0.0000  6 N 1.90

The calculation puts the energy relative to the elements, uncorrected at 9.793 eV/f.u.

***

Record 12
Crystalline TlBrN2 at its relaxed geometry. Source: Alexandria via LeMat-Bulk, functional PBE.

a b c (Å): 4.8620 4.8620 7.0146
angles (deg): 69.72 69.72 90.00
Closest atoms and distances in Å follow each position.
Fractional coordinates of all 8 atoms:
Br  0.5000  0.5000  0.0000  4 N 2.23
Br  0.2500  0.7500  0.5000  4 N 2.23
N  0.1529  0.6250  0.2500  2 Br 2.23, 2 Tl 2.37
N  0.8750  0.8471  0.7500  2 Br 2.23, 2 Tl 2.37
N  0.5971  0.1250  0.2500  2 Br 2.23, 2 Tl 2.37
N  0.3750  0.4029  0.7500  2 Br 2.23, 2 Tl 2.37
Tl  0.0000  0.0000  0.0000  4 N 2.37
Tl  0.7500  0.2500  0.5000  4 N 2.37

The distance to the lowest polymorph of the same formula is 0.328 eV/atom. The calculation puts the energy relative to the elements, uncorrected at 6.819 eV/f.u.

***

Record 13
Crystalline TlBrN2 at its relaxed geometry. Source: Alexandria via LeMat-Bulk, functional PBE.

a b c (Å): 6.6358 6.6358 6.6358
angles (deg): 31.38 31.38 31.38
Closest atoms and distances in Å follow each position.
Fractional coordinates of all 4 atoms:
N  0.1060  0.1060  0.1060  1 Br 2.00
N  0.8940  0.8940  0.8940  1 Br 2.00
Tl  0.5000  0.5000  0.5000  6 N 2.37
Br  0.0000  0.0000  0.0000  2 N 2.00

The distance to the lowest polymorph of the same formula is 0.000 eV/atom. The calculation puts the energy relative to the elements, uncorrected at 5.509 eV/f.u.

***

Record 14
Crystalline TlBr3N2 at its relaxed geometry. Source: Alexandria via LeMat-Bulk, functional PBE.

a b c (Å): 6.5772 17.2803 3.8654
angles (deg): 84.33 50.05 76.63
Closest atoms and distances in Å follow each position.
Fractional coordinates of all 12 atoms:
Tl  0.8798  0.7889  0.9890  3 N 2.38-2.40
Tl  0.1202  0.2111  0.0110  3 N 2.38-2.40
Br  0.4982  0.3037  0.0106  2 N 1.78-1.79
Br  0.8217  0.9111  0.4777  2 Tl 2.77-2.88
Br  0.2536  0.4999  0.6743  2 Br 2.58-2.59
Br  0.1783  0.0889  0.5223  2 Tl 2.77-2.88
Br  0.5018  0.6963  0.9894  2 N 1.78-1.79
Br  0.7464  0.5001  0.3257  2 Br 2.58-2.59
N  0.3638  0.7546  0.4794  1 Br 1.78
N  0.1582  0.2898  0.4317  1 Br 1.79
N  0.6362  0.2454  0.5206  1 Br 1.78
N  0.8418  0.7102  0.5683  1 Br 1.79

The calculation puts the energy relative to the elements, uncorrected at 5.451 eV/f.u.

***

Record 15
Crystalline TlBrN2 at its relaxed geometry. Source: Alexandria via LeMat-Bulk, functional PBE.

a b c (Å): 4.4080 4.4080 4.4080
angles (deg): 60.00 60.00 60.00
Closest atoms and distances in Å follow each position.
Fractional coordinates of all 4 atoms:
N  0.2500  0.2500  0.2500  4 Tl 2.70, 4 Br 2.70
N  0.7500  0.7500  0.7500  4 Tl 2.70, 4 Br 2.70
Tl  0.5000  0.5000  0.5000  8 N 2.70
Br  0.0000  0.0000  0.0000  8 N 2.70

The distance to the lowest polymorph of the same formula is 0.930 eV/atom. The calculation puts the energy relative to the elements, uncorrected at 9.231 eV/f.u.

***

Record 16
Crystalline Tl4Br3N2 at its relaxed geometry. Source: Alexandria via LeMat-Bulk, functional PBE.

a b c (Å): 14.3580 10.1658 10.1658
angles (deg): 54.80 48.08 48.08
Closest atoms and distances in Å follow each position.
Fractional coordinates of all 18 atoms:
Br  0.7500  0.3628  0.6372  4 Tl 3.20-3.21
Br  0.2500  0.6372  0.3628  4 Tl 3.20-3.21
Br  0.8556  0.0075  0.2941  5 Tl 3.16-3.41
Br  0.1444  0.9925  0.7059  5 Tl 3.16-3.41
Br  0.6444  0.7059  0.9925  5 Tl 3.16-3.41
Br  0.3556  0.2941  0.0075  5 Tl 3.16-3.41
Tl  0.5571  0.4073  0.3343  3 Br 3.16-3.37, 1 N 3.44, 1 Tl 3.49
Tl  0.4429  0.5927  0.6657  3 Br 3.16-3.37, 1 N 3.44, 1 Tl 3.49
Tl  0.0571  0.3343  0.4073  3 Br 3.16-3.37, 1 N 3.44, 1 Tl 3.49
Tl  0.9429  0.6657  0.5927  3 Br 3.16-3.37, 1 N 3.44, 1 Tl 3.49
Tl  0.8224  0.3058  0.9090  4 Br 3.20-3.41, 1 Tl 3.49
Tl  0.3224  0.9090  0.3058  4 Br 3.20-3.41, 1 Tl 3.49
Tl  0.1776  0.6942  0.0910  4 Br 3.20-3.41, 1 Tl 3.49
Tl  0.6776  0.0910  0.6942  4 Br 3.20-3.41, 1 Tl 3.49
N  0.5063  0.9490  0.4851  1 N 1.11
N  0.4937  0.0510  0.5149  1 N 1.11
N  0.0063  0.4851  0.9490  1 N 1.11
N  0.9937  0.5149  0.0510  1 N 1.11

The calculation puts the energy relative to the elements, uncorrected at -3.867 eV/f.u.

***

Record 17
Crystalline Tl3BrN at its relaxed geometry. Source: Alexandria via LeMat-Bulk, functional PBE.

a b c (Å): 6.2002 6.2002 6.2002
angles (deg): 90.00 90.00 90.00
Closest atoms and distances in Å follow each position.
Fractional coordinates of all 5 atoms:
Tl  0.0000  0.5000  0.0000  2 Br 3.10
Tl  0.0000  0.0000  0.5000  2 Br 3.10
Tl  0.5000  0.0000  0.0000  2 Br 3.10
N  0.5000  0.5000  0.5000  12 Tl 4.38
Br  0.0000  0.0000  0.0000  6 Tl 3.10

The distance to the lowest polymorph of the same formula is 0.694 eV/atom. The calculation puts the energy relative to the elements, uncorrected at 4.980 eV/f.u.

***

Record 18
Crystalline TlBrN2 at its relaxed geometry. Source: Alexandria via LeMat-Bulk, functional PBE.

a b c (Å): 7.4978 7.4978 7.4978
angles (deg): 25.24 25.24 25.24
Closest atoms and distances in Å follow each position.
Fractional coordinates of all 4 atoms:
N  0.8865  0.8865  0.8865  3 Br 2.22, 1 Tl 2.47
N  0.1135  0.1135  0.1135  3 Br 2.22, 1 Tl 2.47
Br  0.5000  0.5000  0.5000  6 N 2.22
Tl  0.0000  0.0000  0.0000  2 N 2.47

The distance to the lowest polymorph of the same formula is 0.540 eV/atom. The calculation puts the energy relative to the elements, uncorrected at 7.667 eV/f.u.

***

Record 19
Crystalline Tl3BrN at its relaxed geometry. Source: Alexandria via LeMat-Bulk, functional PBE.

a b c (Å): 5.2524 5.2524 5.2524
angles (deg): 90.00 90.00 90.00
Closest atoms and distances in Å follow each position.
Fractional coordinates of all 5 atoms:
Tl  0.5000  0.0000  0.0000  2 N 2.63
Tl  0.0000  0.0000  0.5000  2 N 2.63
Tl  0.0000  0.5000  0.0000  2 N 2.63
N  0.0000  0.0000  0.0000  6 Tl 2.63
Br  0.5000  0.5000  0.5000  12 Tl 3.71

The distance to the lowest polymorph of the same formula is 0.000 eV/atom. The calculation puts the energy relative to the elements, uncorrected at 1.509 eV/f.u.

***

Record 20
Crystalline TlBr4N at its relaxed geometry. Source: Alexandria via LeMat-Bulk, functional PBE.

a b c (Å): 7.6739 12.6798 10.3872
angles (deg): 90.00 90.00 90.00
Closest atoms and distances in Å follow each position.
Fractional coordinates of all 24 atoms:
Br  0.8931  0.3604  0.3153  1 N 1.87
Br  0.5657  0.6327  0.9025  2 Tl 2.83-2.96
Br  0.4343  0.3673  0.0975  2 Tl 2.83-2.96
Br  0.0657  0.6327  0.0975  2 Tl 2.83-2.96
Br  0.5657  0.8673  0.5975  2 Tl 2.83-2.96
Br  0.1069  0.8604  0.8153  1 N 1.87
Br  0.9343  0.1327  0.5975  2 Tl 2.83-2.96
Br  0.4343  0.1327  0.4025  2 Tl 2.83-2.96
Br  0.6069  0.8604  0.1847  1 N 1.87
Br  0.9343  0.3673  0.9025  2 Tl 2.83-2.96
Br  0.1069  0.6396  0.6847  1 N 1.87
Br  0.0657  0.8673  0.4025  2 Tl 2.83-2.96
Br  0.3931  0.1396  0.8153  1 N 1.87
Br  0.6069  0.6396  0.3153  1 N 1.87
Br  0.8931  0.1396  0.1847  1 N 1.87
Br  0.3931  0.3604  0.6847  1 N 1.87
Tl  0.2500  0.0000  0.5740  4 Br 2.83-2.96
Tl  0.2500  0.5000  0.9260  4 Br 2.83-2.96
Tl  0.7500  0.0000  0.4260  4 Br 2.83-2.96
Tl  0.7500  0.5000  0.0740  4 Br 2.83-2.96
N  0.9712  0.7500  0.7500  2 Br 1.87
N  0.0288  0.2500  0.2500  2 Br 1.87
N  0.4712  0.7500  0.2500  2 Br 1.87
N  0.5288  0.2500  0.7500  2 Br 1.87

The calculation puts the energy relative to the elements, uncorrected at 1.560 eV/f.u.